(1)
EuGaBi: optimized geometry, PBE. Values from VASP.

```
&SYSTEM
  ibrav = 0, nat = 3, ntyp = 3
/
ATOMIC_SPECIES
Eu 151.96 Eu.upf
Bi 208.98 Bi.upf
Ga 69.72 Ga.upf
ATOMIC_POSITIONS angstrom
Eu -3.613 2.237 -0.733
Bi -0.636 2.810 0.764
Ga -0.053 0.065 -0.082
CELL_PARAMETERS angstrom
-2.165 2.676 -3.364
-4.138 -1.366 1.577
2.002 3.802 1.736
```

Its crystal system is trigonal. The value obtained for the uncorrected energy is -18.75 eV for the cell shown.

=====

(2)
DyTm2Pa: optimized geometry, PBE. Values from VASP.

```
&SYSTEM
  ibrav = 0, nat = 4, ntyp = 3
/
ATOMIC_SPECIES
Pa 231.04 Pa.upf
Tm 168.93 Tm.upf
Dy 162.50 Dy.upf
ATOMIC_POSITIONS angstrom
Pa -2.216 -0.684 -0.612
Tm -2.929 4.850 5.191
Tm -0.900 1.489 1.594
Dy -4.131 2.486 2.781
CELL_PARAMETERS angstrom
-2.292 1.047 -2.271
-2.141 -2.414 1.047
-3.829 6.339 6.785
```

Its crystal system is tetragonal. The value obtained for the uncorrected energy is -22.56 eV for the cell shown.

=====

(3)
BeTl2Pb: optimized geometry, PBE. Values from VASP.

```
&SYSTEM
  ibrav = 0, nat = 4, ntyp = 3
/
ATOMIC_SPECIES
Pb 207.20 Pb.upf
Be 9.01 Be.upf
Tl 204.38 Tl.upf
ATOMIC_POSITIONS angstrom
Pb 3.510 1.020 1.212
Be 10.530 3.060 3.636
Tl 2.954 0.859 4.690
Tl 6.581 1.913 2.667
CELL_PARAMETERS angstrom
6.242 0.025 -0.042
5.283 3.325 -0.042
2.515 0.731 4.933
```

Its crystal system is monoclinic. The value obtained for the uncorrected energy is -10.48 eV for the cell shown.

=====

(4)
NdSm3Er4: optimized geometry, PBE. Values from VASP.

```
&SYSTEM
  ibrav = 0, nat = 8, ntyp = 3
/
ATOMIC_SPECIES
Nd 144.24 Nd.upf
Sm 150.36 Sm.upf
Er 167.26 Er.upf
ATOMIC_POSITIONS angstrom
Nd -0.910 -0.104 1.539
Sm 2.382 1.297 1.496
Sm 2.922 -4.492 3.506
Sm 1.450 -5.685 0.471
Er 5.743 -6.575 2.949
Er 3.391 -1.008 4.020
Er 0.101 -2.409 4.063
Er 2.453 -7.977 2.992
CELL_PARAMETERS angstrom
-1.819 -0.209 3.077
2.900 -11.371 0.942
4.764 2.595 2.993
```

Its crystal system is monoclinic. The value obtained for the uncorrected energy is -37.03 eV for the cell shown.

=====

(5)
CrSn2BiP: optimized geometry, PBE. Values from VASP.

```
&SYSTEM
  ibrav = 0, nat = 5, ntyp = 4
/
ATOMIC_SPECIES
Cr 52.00 Cr.upf
Bi 208.98 Bi.upf
P 30.97 P.upf
Sn 118.71 Sn.upf
ATOMIC_POSITIONS angstrom
Cr 2.936 2.603 2.936
Bi 0.000 0.000 0.000
P 0.000 2.603 0.000
Sn 0.000 0.000 2.936
Sn 2.936 0.000 0.000
CELL_PARAMETERS angstrom
5.872 0.000 0.000
0.000 5.207 0.000
0.000 0.000 5.872
```

Its crystal system is tetragonal. The value obtained for the uncorrected energy is -20.46 eV for the cell shown.

=====

(6)
Pm4ScPd5: optimized geometry, PBE. Values from VASP.

```
&SYSTEM
  ibrav = 0, nat = 10, ntyp = 3
/
ATOMIC_SPECIES
Pm 145.00 Pm.upf
Sc 44.96 Sc.upf
Pd 106.42 Pd.upf
ATOMIC_POSITIONS angstrom
Pm -3.145 0.730 -1.256
Pm -6.550 1.519 -2.616
Pm -9.951 2.308 -3.974
Pm -13.355 3.098 -5.333
Sc 0.000 0.000 0.000
Pd -2.122 -1.974 -0.015
Pd -5.594 -1.169 -1.401
Pd -8.996 -0.380 -2.760
Pd -12.398 0.409 -4.119
Pd -15.869 1.214 -5.505
CELL_PARAMETERS angstrom
-0.027 -3.049 -1.704
-1.464 -1.538 2.774
-16.501 3.827 -6.589
```

Its crystal system is tetragonal. The value obtained for the uncorrected energy is -59.07 eV for the cell shown.